{
  "formula": "NaSI",
  "functional": "PBE-GGA",
  "state": "relaxed",
  "e_above_lowest_polymorph_kj_per_mol_atoms": 10.5,
  "e_form_raw_ev_per_atom": -0.531,
  "magmom_total_mub_per_fu": 0.0,
  "space_group": "No. 62",
  "dos_at_fermi_per_ev_cell": 5.787,
  "cell": [[-2.2309, 0.9433, 3.5053], [-2.4419, -8.2991, 0.6792], [8.9443, -2.1192, 6.2628]],
  "species": ["Na", "I", "Na", "S", "S", "I", "S", "Na", "S", "Na", "I", "I"],
  "fractional_positions": [[0.2500, 0.8412, 0.3726], [0.7500, 0.0961, 0.3403], [0.7500, 0.1588, 0.6274], [0.2500, 0.5171, 0.4895], [0.7500, 0.0171, 0.0105], [0.2500, 0.5961, 0.1597], [0.7500, 0.4829, 0.5105], [0.7500, 0.3412, 0.1274], [0.2500, 0.9829, 0.9895], [0.2500, 0.6588, 0.8726], [0.7500, 0.4039, 0.8403], [0.2500, 0.9039, 0.6597]]
}


{
  "formula": "NaS2I",
  "functional": "PBE-GGA",
  "state": "relaxed",
  "e_above_lowest_polymorph_kj_per_mol_atoms": 5.2,
  "e_form_raw_ev_per_atom": 0.078,
  "magmom_total_mub_per_fu": 0.0,
  "space_group": "No. 122",
  "dos_at_fermi_per_ev_cell": 0.000,
  "cell": [[5.7852, 0.0000, 0.0000], [0.0000, 5.7852, 0.0000], [2.8926, 2.8926, 7.6488]],
  "species": ["Na", "S", "I", "S", "S", "Na", "I", "S"],
  "fractional_positions": [[0.5000, 0.5000, 0.0000], [0.3750, 0.3271, 0.7500], [0.7500, 0.2500, 0.5000], [0.8750, 0.9229, 0.7500], [0.6729, 0.1250, 0.2500], [0.2500, 0.7500, 0.5000], [0.0000, 0.0000, 0.0000], [0.0771, 0.6250, 0.2500]]
}


{
  "formula": "NaSI",
  "functional": "PBE-GGA",
  "state": "relaxed",
  "e_above_lowest_polymorph_kj_per_mol_atoms": 10.8,
  "e_form_raw_ev_per_atom": -0.528,
  "magmom_total_mub_per_fu": 0.0,
  "space_group": "No. 26",
  "cell": [[5.3944, 0.0000, 0.0000], [0.0000, 8.3215, 0.0000], [0.0000, 0.0000, 8.1039]],
  "species": ["S", "S", "S", "I", "I", "Na", "Na", "Na", "S", "I", "I", "Na"],
  "fractional_positions": [[0.9815, 0.0000, 0.9709], [0.0185, 0.0000, 0.4709], [0.1720, 0.5000, 0.0408], [0.5102, 0.5000, 0.7843], [0.4252, 0.0000, 0.0529], [0.9568, 0.7541, 0.2292], [0.0432, 0.2459, 0.7292], [0.9568, 0.2459, 0.2292], [0.8280, 0.5000, 0.5408], [0.4898, 0.5000, 0.2843], [0.5748, 0.0000, 0.5529], [0.0432, 0.7541, 0.7292]]
}